[1]
# HgOsPt2

An optimized crystal structure of HgOsPt2 (PBE, the Alexandria database).

Values from the calculation:
SG: No. 8

a = 4.883 Å, b = 4.883 Å, c = 5.096 Å
α = 98.92°, β = 98.92°, γ = 33.47°
Atoms (fractional coordinates):
Hg1 0.000 0.000 0.000
Os1 0.249 0.249 0.699
Pt1 0.508 0.508 0.513
Pt2 0.755 0.755 0.244


[2]
# HgOsPt2

An optimized crystal structure of HgOsPt2 (PBE, the Alexandria database).

Values from the calculation:
SG: No. 12

a = 4.803 Å, b = 4.803 Å, c = 5.193 Å
α = 98.01°, β = 98.01°, γ = 34.05°
Atoms (fractional coordinates):
Hg1 0.000 0.000 0.000
Os1 0.500 0.500 0.500
Pt1 0.242 0.242 0.728
Pt2 0.758 0.758 0.272


In the order shown, the computed ΔH_f (0 K) values come out to 324, 397 meV per atom.